No. 1
# Si2PtF, relaxed, DFT GGA-PBE
data_Si2PtF
_cell_length_a 4.228
_cell_length_b 4.228
_cell_length_c 4.228
_cell_angle_alpha 60.00
_cell_angle_beta 60.00
_cell_angle_gamma 60.00
_space_group_name_H-M_alt 'P 1'
_space_group_IT_number 1
loop_
_space_group_symop_operation_xyz
'x,y,z'
loop_
_atom_site_label
_atom_site_type_symbol
_atom_site_fract_x
_atom_site_fract_y
_atom_site_fract_z
_atom_site_occupancy
Si1 Si 0.750 0.750 0.750 1
Si2 Si 0.250 0.250 0.250 1
Pt1 Pt 0.500 0.500 0.500 1
F1 F 0.000 0.000 0.000 1
# Energy relative to the lowest polymorph listed for this composition   0.000 eV/atom
# Total energy   -21.20 eV per cell
# Crystal system   cubic
# Volume   53.5 Å³/cell
# ΔE_f (raw)   -610 meV per atom
# SG   Fm-3m (225)
# Density   8395 kg/m3

No. 2
# SiPtF2, relaxed, DFT GGA-PBE
data_SiPtF2
_cell_length_a 4.202
_cell_length_b 4.202
_cell_length_c 4.202
_cell_angle_alpha 60.00
_cell_angle_beta 60.00
_cell_angle_gamma 60.00
_space_group_name_H-M_alt 'P 1'
_space_group_IT_number 1
loop_
_space_group_symop_operation_xyz
'x,y,z'
loop_
_atom_site_label
_atom_site_type_symbol
_atom_site_fract_x
_atom_site_fract_y
_atom_site_fract_z
_atom_site_occupancy
Pt1 Pt 0.500 0.500 0.500 1
Si1 Si 0.000 0.000 0.000 1
F1 F 0.250 0.250 0.250 1
F2 F 0.750 0.750 0.750 1
# Energy relative to the lowest polymorph listed for this composition   1.015 eV/atom
# Total energy   -15.99 eV per cell
# Crystal system   cubic
# Volume   52.5 Å³/cell
# ΔE_f (raw)   -197 meV per atom
# SG   Fm-3m (225)
# Density   8266 kg/m3

No. 3
# SiPtF3, relaxed, DFT GGA-PBE
data_SiPtF3
_cell_length_a 4.060
_cell_length_b 4.060
_cell_length_c 4.060
_cell_angle_alpha 90.00
_cell_angle_beta 90.00
_cell_angle_gamma 90.00
_space_group_name_H-M_alt 'P 1'
_space_group_IT_number 1
loop_
_space_group_symop_operation_xyz
'x,y,z'
loop_
_atom_site_label
_atom_site_type_symbol
_atom_site_fract_x
_atom_site_fract_y
_atom_site_fract_z
_atom_site_occupancy
F1 F 0.500 0.000 0.000 1
F2 F 0.000 0.000 0.500 1
F3 F 0.000 0.500 0.000 1
Si1 Si 0.000 0.000 0.000 1
Pt1 Pt 0.500 0.500 0.500 1
# Energy relative to the lowest polymorph listed for this composition   0.000 eV/atom
# Total energy   -20.73 eV per cell
# Crystal system   cubic
# Volume   66.9 Å³/cell
# ΔE_f (raw)   -730 meV per atom
# SG   Pm-3m (221)
# Density   6951 kg/m3

No. 4
# SiPt3F, relaxed, DFT GGA-PBE
data_SiPt3F
_cell_length_a 4.517
_cell_length_b 4.517
_cell_length_c 4.517
_cell_angle_alpha 90.00
_cell_angle_beta 90.00
_cell_angle_gamma 90.00
_space_group_name_H-M_alt 'P 1'
_space_group_IT_number 1
loop_
_space_group_symop_operation_xyz
'x,y,z'
loop_
_atom_site_label
_atom_site_type_symbol
_atom_site_fract_x
_atom_site_fract_y
_atom_site_fract_z
_atom_site_occupancy
Pt1 Pt 0.500 0.000 0.000 1
Pt2 Pt 0.000 0.500 0.000 1
Pt3 Pt 0.000 0.000 0.500 1
Si1 Si 0.000 0.000 0.000 1
F1 F 0.500 0.500 0.500 1
# Energy relative to the lowest polymorph listed for this composition   0.000 eV/atom
# Total energy   -24.11 eV per cell
# Crystal system   cubic
# Volume   92.1 Å³/cell
# ΔE_f (raw)   261 meV per atom
# SG   Pm-3m (221)
# Density   11395 kg/m3

No. 5
# SiPtF3, relaxed, DFT GGA-PBE
data_SiPtF3
_cell_length_a 4.319
_cell_length_b 4.319
_cell_length_c 4.319
_cell_angle_alpha 90.00
_cell_angle_beta 90.00
_cell_angle_gamma 90.00
_space_group_name_H-M_alt 'P 1'
_space_group_IT_number 1
loop_
_space_group_symop_operation_xyz
'x,y,z'
loop_
_atom_site_label
_atom_site_type_symbol
_atom_site_fract_x
_atom_site_fract_y
_atom_site_fract_z
_atom_site_occupancy
Pt1 Pt 0.000 0.000 0.000 1
F1 F 0.000 0.500 0.000 1
F2 F 0.500 0.000 0.000 1
F3 F 0.000 0.000 0.500 1
Si1 Si 0.500 0.500 0.500 1
# Energy relative to the lowest polymorph listed for this composition   0.398 eV/atom
# Total energy   -18.74 eV per cell
# Crystal system   cubic
# Volume   80.6 Å³/cell
# ΔE_f (raw)   -332 meV per atom
# SG   Pm-3m (221)
# Density   5775 kg/m3

No. 6
# Si2PtF, relaxed, DFT GGA-PBE
data_Si2PtF
_cell_length_a 5.041
_cell_length_b 5.041
_cell_length_c 6.879
_cell_angle_alpha 68.51
_cell_angle_beta 68.51
_cell_angle_gamma 90.00
_space_group_name_H-M_alt 'P 1'
_space_group_IT_number 1
loop_
_space_group_symop_operation_xyz
'x,y,z'
loop_
_atom_site_label
_atom_site_type_symbol
_atom_site_fract_x
_atom_site_fract_y
_atom_site_fract_z
_atom_site_occupancy
F1 F 0.500 0.500 0.000 1
F2 F 0.250 0.750 0.500 1
Si1 Si 0.375 0.379 0.750 1
Si2 Si 0.621 0.125 0.250 1
Si3 Si 0.875 0.871 0.750 1
Si4 Si 0.129 0.625 0.250 1
Pt1 Pt 0.000 0.000 0.000 1
Pt2 Pt 0.750 0.250 0.500 1
# Energy relative to the lowest polymorph listed for this composition   0.145 eV/atom
# Total energy   -41.24 eV per cell
# Crystal system   tetragonal
# Volume   149.5 Å³/cell
# ΔE_f (raw)   -466 meV per atom
# SG   I-42d (122)
# Density   6003 kg/m3

No. 7
# SiPtF2, relaxed, DFT GGA-PBE
data_SiPtF2
_cell_length_a 10.540
_cell_length_b 10.540
_cell_length_c 10.540
_cell_angle_alpha 14.50
_cell_angle_beta 14.50
_cell_angle_gamma 14.50
_space_group_name_H-M_alt 'P 1'
_space_group_IT_number 1
loop_
_space_group_symop_operation_xyz
'x,y,z'
loop_
_atom_site_label
_atom_site_type_symbol
_atom_site_fract_x
_atom_site_fract_y
_atom_site_fract_z
_atom_site_occupancy
Pt1 Pt 0.500 0.500 0.500 1
Si1 Si 0.000 0.000 0.000 1
F1 F 0.052 0.052 0.052 1
F2 F 0.948 0.948 0.948 1
# Energy relative to the lowest polymorph listed for this composition   0.000 eV/atom
# Total energy   -20.05 eV per cell
# Crystal system   trigonal
# Volume   63.9 Å³/cell
# ΔE_f (raw)   -1212 meV per atom
# SG   R-3m (166)
# Density   6785 kg/m3

No. 8
# Si3PtF, relaxed, DFT GGA-PBE
data_Si3PtF
_cell_length_a 4.274
_cell_length_b 4.274
_cell_length_c 4.274
_cell_angle_alpha 90.00
_cell_angle_beta 90.00
_cell_angle_gamma 90.00
_space_group_name_H-M_alt 'P 1'
_space_group_IT_number 1
loop_
_space_group_symop_operation_xyz
'x,y,z'
loop_
_atom_site_label
_atom_site_type_symbol
_atom_site_fract_x
_atom_site_fract_y
_atom_site_fract_z
_atom_site_occupancy
F1 F 0.000 0.000 0.000 1
Si1 Si 0.500 0.000 0.000 1
Si2 Si 0.000 0.500 0.000 1
Si3 Si 0.000 0.000 0.500 1
Pt1 Pt 0.500 0.500 0.500 1
# Energy relative to the lowest polymorph listed for this composition   0.043 eV/atom
# Total energy   -22.50 eV per cell
# Crystal system   cubic
# Volume   78.1 Å³/cell
# ΔE_f (raw)   335 meV per atom
# SG   Pm-3m (221)
# Density   6347 kg/m3

No. 9
# SiPtF2, relaxed, DFT GGA-PBE
data_SiPtF2
_cell_length_a 3.572
_cell_length_b 3.572
_cell_length_c 8.314
_cell_angle_alpha 77.60
_cell_angle_beta 77.60
_cell_angle_gamma 90.00
_space_group_name_H-M_alt 'P 1'
_space_group_IT_number 1
loop_
_space_group_symop_operation_xyz
'x,y,z'
loop_
_atom_site_label
_atom_site_type_symbol
_atom_site_fract_x
_atom_site_fract_y
_atom_site_fract_z
_atom_site_occupancy
F1 F 0.375 0.387 0.750 1
F2 F 0.137 0.625 0.250 1
F3 F 0.875 0.863 0.750 1
F4 F 0.613 0.125 0.250 1
Pt1 Pt 0.000 0.000 0.000 1
Pt2 Pt 0.750 0.250 0.500 1
Si1 Si 0.500 0.500 0.000 1
Si2 Si 0.250 0.750 0.500 1
# Energy relative to the lowest polymorph listed for this composition   0.399 eV/atom
# Total energy   -36.92 eV per cell
# Crystal system   tetragonal
# Volume   101.1 Å³/cell
# ΔE_f (raw)   -813 meV per atom
# SG   I-42d (122)
# Density   8581 kg/m3

No. 10
# SiPt2F, relaxed, DFT GGA-PBE
data_SiPt2F
_cell_length_a 6.580
_cell_length_b 6.580
_cell_length_c 5.409
_cell_angle_alpha 52.54
_cell_angle_beta 52.54
_cell_angle_gamma 90.00
_space_group_name_H-M_alt 'P 1'
_space_group_IT_number 1
loop_
_space_group_symop_operation_xyz
'x,y,z'
loop_
_atom_site_label
_atom_site_type_symbol
_atom_site_fract_x
_atom_site_fract_y
_atom_site_fract_z
_atom_site_occupancy
F1 F 0.250 0.750 0.500 1
F2 F 0.500 0.500 0.000 1
Si1 Si 0.750 0.250 0.500 1
Si2 Si 0.000 0.000 0.000 1
Pt1 Pt 0.103 0.625 0.250 1
Pt2 Pt 0.375 0.353 0.750 1
Pt3 Pt 0.875 0.897 0.750 1
Pt4 Pt 0.647 0.125 0.250 1
# Energy relative to the lowest polymorph listed for this composition   0.081 eV/atom
# Total energy   -42.79 eV per cell
# Crystal system   tetragonal
# Volume   119.5 Å³/cell
# ΔE_f (raw)   -505 meV per atom
# SG   I-42d (122)
# Density   12155 kg/m3

No. 11
# TaSi2PtF, relaxed, DFT GGA-PBE
data_TaSi2PtF
_cell_length_a 4.975
_cell_length_b 4.792
_cell_length_c 4.975
_cell_angle_alpha 90.00
_cell_angle_beta 90.00
_cell_angle_gamma 90.00
_space_group_name_H-M_alt 'P 1'
_space_group_IT_number 1
loop_
_space_group_symop_operation_xyz
'x,y,z'
loop_
_atom_site_label
_atom_site_type_symbol
_atom_site_fract_x
_atom_site_fract_y
_atom_site_fract_z
_atom_site_occupancy
Ta1 Ta 0.000 0.000 0.000 1
Pt1 Pt 0.000 0.500 0.000 1
Si1 Si 0.500 0.000 0.000 1
Si2 Si 0.000 0.000 0.500 1
F1 F 0.500 0.500 0.500 1
# Total energy   -27.11 eV per cell
# Crystal system   tetragonal
# Volume   118.6 Å³/cell
# ΔE_f (raw)   700 meV per atom
# SG   P4/mmm (123)
# Density   6317 kg/m3